DFT (GGA-PBEsol) results for CsV2P5O16 after structural relaxation.

Results
* VASP energy: -7.79 eV/atom

a b c (Å): 7.551 9.423 10.293
angles (deg): 90.00 111.93 90.00
Fractional positions:
Cs (0.000, 0.198, 0.000)
Cs (0.000, 0.802, 0.500)
V (0.069, 0.369, 0.604)
V (0.069, 0.631, 0.104)
V (0.617, 0.143, 0.204)
V (0.617, 0.857, 0.704)
P (0.382, 0.140, 0.611)
P (0.382, 0.860, 0.111)
P (0.424, 0.294, 0.868)
P (0.424, 0.706, 0.368)
P (0.478, 0.459, 0.232)
P (0.478, 0.541, 0.732)
P (0.716, 0.127, 0.539)
P (0.716, 0.873, 0.039)
P (0.870, 0.418, 0.266)
P (0.870, 0.582, 0.766)
O (0.185, 0.203, 0.545)
O (0.185, 0.797, 0.045)
O (0.209, 0.297, 0.804)
O (0.209, 0.703, 0.304)
O (0.306, 0.480, 0.618)
O (0.306, 0.520, 0.118)
O (0.383, 0.019, 0.134)
O (0.383, 0.981, 0.634)
O (0.479, 0.303, 0.263)
O (0.479, 0.697, 0.763)
O (0.501, 0.214, 0.761)
O (0.501, 0.786, 0.261)
O (0.503, 0.184, 0.522)
O (0.503, 0.816, 0.022)
O (0.510, 0.451, 0.873)
O (0.510, 0.549, 0.373)
O (0.517, 0.230, 0.009)
O (0.517, 0.770, 0.509)
O (0.663, 0.497, 0.198)
O (0.663, 0.503, 0.698)
O (0.696, 0.071, 0.395)
O (0.696, 0.929, 0.895)
O (0.763, 0.008, 0.647)
O (0.763, 0.992, 0.147)
O (0.839, 0.258, 0.244)
O (0.839, 0.742, 0.744)
O (0.847, 0.253, 0.589)
O (0.847, 0.747, 0.089)
O (0.949, 0.459, 0.420)
O (0.949, 0.541, 0.920)
O (0.983, 0.470, 0.182)
O (0.983, 0.530, 0.682)



DFT (GGA-PBEsol) results for CsVZnP6O18 after structural relaxation.

Results
* VASP energy: -7.39 eV/atom

a b c (Å): 6.338 8.438 8.443
angles (deg): 104.36 104.25 103.27
Fractional positions:
Cs (0.000, 0.000, 0.000)
V (0.448, 0.274, 0.822)
Zn (0.444, 0.827, 0.262)
P (0.337, 0.641, 0.852)
P (0.347, 0.869, 0.631)
P (0.537, 0.233, 0.448)
P (0.543, 0.460, 0.226)
P (0.942, 0.332, 0.752)
P (0.942, 0.767, 0.319)
O (0.069, 0.531, 0.792)
O (0.082, 0.819, 0.522)
O (0.099, 0.773, 0.214)
O (0.113, 0.235, 0.778)
O (0.350, 0.701, 0.688)
O (0.385, 0.796, 0.001)
O (0.387, 0.567, 0.211)
O (0.393, 0.021, 0.788)
O (0.404, 0.236, 0.573)
O (0.462, 0.081, 0.290)
O (0.483, 0.524, 0.863)
O (0.496, 0.304, 0.072)
O (0.503, 0.883, 0.526)
O (0.539, 0.401, 0.392)
O (0.780, 0.314, 0.854)
O (0.783, 0.872, 0.300)
O (0.805, 0.272, 0.551)
O (0.807, 0.568, 0.282)



DFT (GGA-PBEsol) results for CsYP4O12 after structural relaxation.

Results
* VASP energy: -7.71 eV/atom

a b c (Å): 10.279 8.879 12.831
angles (deg): 90.00 123.58 90.00
Fractional positions:
Cs (0.222, 0.064, 0.041)
Cs (0.222, 0.436, 0.541)
Cs (0.778, 0.564, 0.459)
Cs (0.778, 0.936, 0.959)
Y (0.315, 0.726, 0.818)
Y (0.315, 0.774, 0.318)
Y (0.685, 0.226, 0.682)
Y (0.685, 0.274, 0.182)
P (0.030, 0.027, 0.286)
P (0.030, 0.473, 0.786)
P (0.200, 0.610, 0.027)
P (0.200, 0.890, 0.527)
P (0.330, 0.172, 0.370)
P (0.330, 0.328, 0.870)
P (0.391, 0.091, 0.743)
P (0.391, 0.409, 0.243)
P (0.609, 0.591, 0.757)
P (0.609, 0.909, 0.257)
P (0.670, 0.672, 0.130)
P (0.670, 0.828, 0.630)
P (0.800, 0.110, 0.473)
P (0.800, 0.390, 0.973)
P (0.970, 0.527, 0.214)
P (0.970, 0.973, 0.714)
O (0.040, 0.546, 0.906)
O (0.040, 0.954, 0.406)
O (0.078, 0.584, 0.725)
O (0.078, 0.916, 0.225)
O (0.128, 0.596, 0.295)
O (0.128, 0.904, 0.795)
O (0.159, 0.159, 0.349)
O (0.159, 0.341, 0.849)
O (0.164, 0.713, 0.100)
O (0.164, 0.787, 0.600)
O (0.270, 0.048, 0.599)
O (0.270, 0.452, 0.099)
O (0.283, 0.208, 0.759)
O (0.283, 0.292, 0.259)
O (0.297, 0.670, 0.982)
O (0.297, 0.830, 0.482)
O (0.373, 0.028, 0.337)
O (0.373, 0.472, 0.837)
O (0.424, 0.544, 0.324)
O (0.424, 0.956, 0.824)
O (0.434, 0.244, 0.495)
O (0.434, 0.256, 0.995)
O (0.475, 0.676, 0.743)
O (0.475, 0.824, 0.243)
O (0.525, 0.176, 0.757)
O (0.525, 0.324, 0.257)
O (0.566, 0.744, 0.005)
O (0.566, 0.756, 0.505)
O (0.576, 0.044, 0.176)
O (0.576, 0.456, 0.676)
O (0.627, 0.528, 0.163)
O (0.627, 0.972, 0.663)
O (0.703, 0.170, 0.518)
O (0.703, 0.330, 0.018)
O (0.717, 0.708, 0.741)
O (0.717, 0.792, 0.241)
O (0.730, 0.548, 0.901)
O (0.730, 0.952, 0.401)
O (0.836, 0.213, 0.400)
O (0.836, 0.287, 0.900)
O (0.841, 0.659, 0.151)
O (0.841, 0.841, 0.651)
O (0.872, 0.096, 0.205)
O (0.872, 0.404, 0.705)
O (0.922, 0.084, 0.775)
O (0.922, 0.416, 0.275)
O (0.960, 0.046, 0.594)
O (0.960, 0.454, 0.094)



DFT (GGA-PBEsol) results for CsYP2O7 after structural relaxation.

Results
* VASP energy: -7.83 eV/atom

a b c (Å): 7.900 10.939 8.793
angles (deg): 90.00 104.71 90.00
Fractional positions:
Cs (0.194, 0.184, 0.057)
Cs (0.194, 0.316, 0.557)
Cs (0.806, 0.684, 0.443)
Cs (0.806, 0.816, 0.943)
Y (0.236, 0.599, 0.253)
Y (0.236, 0.901, 0.753)
Y (0.764, 0.099, 0.247)
Y (0.764, 0.401, 0.747)
P (0.130, 0.598, 0.821)
P (0.130, 0.902, 0.321)
P (0.428, 0.632, 0.684)
P (0.428, 0.868, 0.184)
P (0.572, 0.132, 0.816)
P (0.572, 0.368, 0.316)
P (0.870, 0.098, 0.679)
P (0.870, 0.402, 0.179)
O (0.003, 0.504, 0.726)
O (0.003, 0.996, 0.226)
O (0.083, 0.727, 0.757)
O (0.083, 0.773, 0.257)
O (0.149, 0.588, 0.996)
O (0.149, 0.912, 0.496)
O (0.320, 0.563, 0.794)
O (0.320, 0.937, 0.294)
O (0.328, 0.606, 0.515)
O (0.328, 0.894, 0.015)
O (0.392, 0.072, 0.772)
O (0.392, 0.428, 0.272)
O (0.440, 0.733, 0.228)
O (0.440, 0.767, 0.728)
O (0.560, 0.233, 0.272)
O (0.560, 0.267, 0.772)
O (0.608, 0.572, 0.728)
O (0.608, 0.928, 0.228)
O (0.672, 0.106, 0.985)
O (0.672, 0.394, 0.485)
O (0.680, 0.063, 0.706)
O (0.680, 0.437, 0.206)
O (0.851, 0.088, 0.504)
O (0.851, 0.412, 0.004)
O (0.917, 0.227, 0.743)
O (0.917, 0.273, 0.243)
O (0.997, 0.004, 0.774)
O (0.997, 0.496, 0.274)